Dy3Er3Te2Pt: optimized geometry, PBE.

DFT total energy = -5.34 eV per atom

Geometry as POSCAR:
```
Dy3Er3Te2Pt
1.0
8.371 0.000 0.000
-4.186 7.250 0.000
0.000 0.000 3.934
Dy Er Te Pt
3 3 2 1
Cartesian
-2.515 4.357 0.000
1.670 2.893 0.000
5.031 0.000 0.000
-1.028 1.781 1.967
2.056 0.000 1.967
3.158 5.469 1.967
0.000 4.833 1.967
4.186 2.417 1.967
0.000 0.000 0.000
```